(1)
Compound: Mn3B4Mo3
Source: Alexandria via LeMat-Bulk
Functional: meta-GGA SCAN
Structure: single point on PBEsol structure

Cell lengths 3.1082, 5.6337, 5.6337 Å; angles 90.93, 90.00, 90.00 degrees
Site moments in Bohr magnetons follow the coordinates.
Atoms (fractional coordinates):
1 Mn 0.0000 0.5008 0.9960  2.50
2 Mn 0.0000 0.9960 0.5008  2.50
3 Mn 0.5000 0.6775 0.6775  2.41
4 B 0.0000 0.1131 0.1131  -0.04
5 B 0.0000 0.8734 0.8734  -0.11
6 B 0.0000 0.6227 0.3983  -0.10
7 B 0.0000 0.3983 0.6227  -0.10
8 Mo 0.5000 0.3260 0.3260  -0.10
9 Mo 0.5000 0.1739 0.8184  -0.10
10 Mo 0.5000 0.8184 0.1739  -0.10

Space group: Amm2 (38)
Size of the total moment, μB per atom: 0.6826
ΔE_f, eV/atom: -0.473
Final energy, eV per formula unit: -193.86



(2)
Compound: RbYTi2F
Source: Alexandria via LeMat-Bulk
Functional: meta-GGA SCAN
Structure: single point on PBEsol structure

Cell lengths 4.6921, 4.6921, 8.4649 Å; angles 90.00, 90.00, 90.00 degrees
Atoms (fractional coordinates):
1 Y 0.0000 0.0000 0.0000
2 F 0.5000 0.5000 0.5000
3 Rb 0.0000 0.0000 0.5000
4 Ti 0.0000 0.5000 0.0000
5 Ti 0.5000 0.0000 0.0000

Space group: P4/mmm (123)
Size of the total moment, μB per atom: 0.0005
Final energy, eV per formula unit: -79.06



(3)
Compound: CoAu2Se
Source: Alexandria via LeMat-Bulk
Functional: meta-GGA SCAN
Structure: single point on PBEsol structure

Cell lengths 2.8573, 3.7651, 6.4028 Å; angles 101.95, 102.89, 90.00 degrees
Site moments in Bohr magnetons follow the coordinates.
Atoms (fractional coordinates):
1 Au 0.6859 0.7028 0.3718  0.03
2 Au 0.3141 0.2972 0.6282  0.03
3 Co 0.0000 0.5000 0.0000  1.56
4 Se 0.5000 0.0000 0.0000  0.06

Space group: C2/m (12)
Size of the total moment, μB per atom: 0.4238
Final energy, eV per formula unit: -174.84



(4)
Compound: Zr3TiSe
Source: Alexandria via LeMat-Bulk
Functional: meta-GGA SCAN
Structure: single point on PBEsol structure

Cell lengths 4.8804, 4.8804, 4.8804 Å; angles 90.00, 90.00, 90.00 degrees
Atoms (fractional coordinates):
1 Se 0.5000 0.5000 0.5000
2 Zr 0.0000 0.5000 0.0000
3 Zr 0.0000 0.0000 0.5000
4 Zr 0.5000 0.0000 0.0000
5 Ti 0.0000 0.0000 0.0000

Space group: Pm-3m (221)
Size of the total moment, μB per atom: 0.0005
Final energy, eV per formula unit: -124.81